No. 1
Crystalline NiIrN2O at its relaxed geometry, computed with GGA+U.

As for the energy: -24.90 eV per formula unit. As for the mass density: 9.851 g/cm3.

It has space group P4/mmm (No. 123), with a = 3.6795 Å, b = 3.6795 Å, c = 3.6719 Å, α = 90.00°, β = 90.00° and γ = 90.00°. The asymmetric unit holds Ni at (0.0000, 0.0000, 0.0000), Ir at (0.5000, 0.5000, 0.5000), N at (0.0000, 0.5000, 0.0000) and O at (0.0000, 0.0000, 0.5000).

***

No. 2
Crystalline NiIrN2O at its relaxed geometry, computed with GGA+U.

As for the energy: -27.67 eV per formula unit. As for the mass density: 8.064 g/cm3.

It has space group P4/mmm (No. 123), with a = 3.7519 Å, b = 3.7519 Å, c = 4.3140 Å, α = 90.00°, β = 90.00° and γ = 90.00°. The asymmetric unit holds Ni at (0.0000, 0.0000, 0.0000), Ir at (0.5000, 0.5000, 0.5000), N at (0.0000, 0.5000, 0.5000) and O at (0.5000, 0.5000, 0.0000).

***

No. 3
Crystalline NiIrNO2 at its relaxed geometry, computed with GGA+U.

As for the energy: -27.13 eV per formula unit. As for the mass density: 8.242 g/cm3.

It has space group P4/mmm (No. 123), with a = 4.0325 Å, b = 4.0325 Å, c = 3.6789 Å, α = 90.00°, β = 90.00° and γ = 90.00°. The asymmetric unit holds Ni at (0.0000, 0.0000, 0.0000), Ir at (0.5000, 0.5000, 0.5000), N at (0.5000, 0.5000, 0.0000) and O at (0.0000, 0.5000, 0.5000).

***

No. 4
Crystalline NiIrNO2 at its relaxed geometry, computed with GGA+U.

As for the energy: -24.30 eV per formula unit. As for the mass density: 9.758 g/cm3.

It has space group P4/mmm (No. 123), with a = 3.6762 Å, b = 3.6762 Å, c = 3.7387 Å, α = 90.00°, β = 90.00° and γ = 90.00°. The asymmetric unit holds Ni at (0.0000, 0.0000, 0.0000), Ir at (0.5000, 0.5000, 0.5000), N at (0.0000, 0.0000, 0.5000) and O at (0.0000, 0.5000, 0.0000).

***

| no. | density of states at the Fermi level (states/eV per cell) |
| --- | --- |
| 1 | 4.08 |
| 2 | 2.45 |
| 3 | 3.73 |
| 4 | 3.90 |